# 1
# PBE SrGa2Ag, relaxed
data_SrGa2Ag
_symmetry_space_group_name_H-M 'P 1'
_symmetry_Int_Tables_number 1
_cell_length_a 4.4962
_cell_length_b 4.4962
_cell_length_c 6.1760
_cell_angle_alpha 68.65
_cell_angle_beta 68.65
_cell_angle_gamma 60.00
loop_
_symmetry_equiv_pos_as_xyz
'x,y,z'
loop_
_atom_site_label
_atom_site_type_symbol
_atom_site_fract_x
_atom_site_fract_y
_atom_site_fract_z
_atom_site_occupancy
Ag1 Ag 0.5000 0.5000 0.5000 1
Sr1 Sr 0.0000 0.0000 0.0000 1
Ga1 Ga 0.7901 0.7901 0.6296 1
Ga2 Ga 0.2099 0.2099 0.3704 1
# Electronic total energy in eV per cell: -11.87
# Energy of formation from the pure elements in eV/atom: -0.3200

=====

# 2
# PBE SrGa2Ag3, relaxed
data_SrGa2Ag3
_symmetry_space_group_name_H-M 'P 1'
_symmetry_Int_Tables_number 1
_cell_length_a 4.3766
_cell_length_b 9.1431
_cell_length_c 10.6330
_cell_angle_alpha 108.65
_cell_angle_beta 90.00
_cell_angle_gamma 103.85
loop_
_symmetry_equiv_pos_as_xyz
'x,y,z'
loop_
_atom_site_label
_atom_site_type_symbol
_atom_site_fract_x
_atom_site_fract_y
_atom_site_fract_z
_atom_site_occupancy
Ga1 Ga 0.2040 0.4081 0.1294 1
Ag1 Ag 0.7850 0.5700 0.6083 1
Sr1 Sr 0.8454 0.6908 0.2982 1
Sr2 Sr 0.1546 0.3092 0.7018 1
Ag2 Ag 0.3719 0.7437 0.7993 1
Ag3 Ag 0.6281 0.2563 0.2007 1
Ag4 Ag 0.3259 0.6518 0.0333 1
Ga2 Ga 0.7960 0.5919 0.8706 1
Ga3 Ga 0.3634 0.7269 0.5438 1
Ag5 Ag 0.5000 0.0000 0.5000 1
Sr3 Sr 0.0000 0.0000 0.0000 1
Ag6 Ag 0.6741 0.3482 0.9667 1
Ga4 Ga 0.5312 0.0625 0.7740 1
Ag7 Ag 0.0466 0.0933 0.3376 1
Ag8 Ag 0.2150 0.4300 0.3917 1
Ag9 Ag 0.9534 0.9067 0.6624 1
Ga5 Ga 0.4688 0.9375 0.2260 1
Ga6 Ga 0.6366 0.2731 0.4562 1
# Electronic total energy in eV per cell: -53.26
# Energy of formation from the pure elements in eV/atom: -0.2437

=====

# 3
# PBE SrGa2Ag3, relaxed
data_SrGa2Ag3
_symmetry_space_group_name_H-M 'P 1'
_symmetry_Int_Tables_number 1
_cell_length_a 4.4261
_cell_length_b 8.6880
_cell_length_c 7.9115
_cell_angle_alpha 115.25
_cell_angle_beta 90.00
_cell_angle_gamma 104.76
loop_
_symmetry_equiv_pos_as_xyz
'x,y,z'
loop_
_atom_site_label
_atom_site_type_symbol
_atom_site_fract_x
_atom_site_fract_y
_atom_site_fract_z
_atom_site_occupancy
Ag1 Ag 0.4055 0.8109 0.3232 1
Ag2 Ag 0.3165 0.6330 0.5584 1
Ga1 Ga 0.8078 0.6156 0.3183 1
Ag3 Ag 0.5945 0.1891 0.6768 1
Ga2 Ga 0.1922 0.3844 0.6817 1
Ag4 Ag 0.0358 0.0717 0.3651 1
Ga3 Ga 0.4820 0.9641 0.8291 1
Ag5 Ag 0.6835 0.3670 0.4416 1
Sr1 Sr 0.8487 0.6975 0.9300 1
Sr2 Sr 0.1513 0.3025 0.0700 1
Ag6 Ag 0.9642 0.9283 0.6349 1
Ga4 Ga 0.5180 0.0359 0.1709 1
# Electronic total energy in eV per cell: -35.29
# Energy of formation from the pure elements in eV/atom: -0.2260

=====

# 4
# PBE Sr2Ga3Ag9, relaxed
data_Sr2Ga3Ag9
_symmetry_space_group_name_H-M 'P 1'
_symmetry_Int_Tables_number 1
_cell_length_a 8.2865
_cell_length_b 8.2865
_cell_length_c 10.8772
_cell_angle_alpha 89.98
_cell_angle_beta 111.80
_cell_angle_gamma 120.86
loop_
_symmetry_equiv_pos_as_xyz
'x,y,z'
loop_
_atom_site_label
_atom_site_type_symbol
_atom_site_fract_x
_atom_site_fract_y
_atom_site_fract_z
_atom_site_occupancy
Ag1 Ag 0.1258 0.1434 0.4343 1
Sr1 Sr 0.0125 0.4176 0.2552 1
Ga1 Ga 0.5000 0.5000 0.5000 1
Ga2 Ga 0.1802 0.3555 0.9977 1
Ag2 Ag 0.5188 0.1754 0.5292 1
Ga3 Ga 0.8198 0.6445 0.0023 1
Ga4 Ga 0.5000 0.0000 0.0000 1
Ag3 Ag 0.4661 0.9265 0.7414 1
Sr2 Sr 0.6624 0.7573 0.2448 1
Ag4 Ag 0.5549 0.3556 0.0829 1
Ag5 Ag 0.4812 0.8246 0.4708 1
Ag6 Ag 0.2274 0.5280 0.5829 1
Sr3 Sr 0.3376 0.2427 0.7552 1
Ag7 Ag 0.4451 0.6444 0.9171 1
Ag8 Ag 0.1218 0.8718 0.2500 1
Ag9 Ag 0.8742 0.8566 0.5657 1
Ga5 Ga 0.1422 0.8175 0.4977 1
Ag10 Ag 0.5339 0.0735 0.2586 1
Ag11 Ag 0.7909 0.3085 0.9343 1
Sr4 Sr 0.9875 0.5824 0.7448 1
Ag12 Ag 0.7726 0.4720 0.4171 1
Ag13 Ag 0.6851 0.7247 0.7586 1
Ag14 Ag 0.3149 0.2753 0.2414 1
Ag15 Ag 0.8539 0.0104 0.0292 1
Ag16 Ag 0.8782 0.1282 0.7500 1
Ga6 Ga 0.8578 0.1825 0.5023 1
Ag17 Ag 0.1461 0.9896 0.9708 1
Ag18 Ag 0.2091 0.6915 0.0657 1
# Electronic total energy in eV per cell: -81.56
# Energy of formation from the pure elements in eV/atom: -0.1909

=====

# 5
# PBE Sr2Ga3Ag6, relaxed
data_Sr2Ga3Ag6
_symmetry_space_group_name_H-M 'P 1'
_symmetry_Int_Tables_number 1
_cell_length_a 4.4136
_cell_length_b 8.0657
_cell_length_c 8.0657
_cell_angle_alpha 120.00
_cell_angle_beta 90.00
_cell_angle_gamma 90.00
loop_
_symmetry_equiv_pos_as_xyz
'x,y,z'
loop_
_atom_site_label
_atom_site_type_symbol
_atom_site_fract_x
_atom_site_fract_y
_atom_site_fract_z
_atom_site_occupancy
Ag1 Ag 0.0000 0.0000 0.7984 1
Ga1 Ga 0.5000 0.3792 0.3792 1
Ag2 Ag 0.0000 0.7984 0.0000 1
Ga2 Ga 0.5000 0.0000 0.6208 1
Ga3 Ga 0.5000 0.6208 0.0000 1
Sr1 Sr 0.0000 0.6667 0.3333 1
Ag3 Ag 0.5000 0.2906 0.0000 1
Sr2 Sr 0.0000 0.3333 0.6667 1
Ag4 Ag 0.5000 0.0000 0.2906 1
Ag5 Ag 0.0000 0.2016 0.2016 1
Ag6 Ag 0.5000 0.7094 0.7094 1
# Electronic total energy in eV per cell: -31.86
# Energy of formation from the pure elements in eV/atom: -0.2102

=====

# 6
# PBE SrGa2Ag, relaxed
data_SrGa2Ag
_symmetry_space_group_name_H-M 'P 1'
_symmetry_Int_Tables_number 1
_cell_length_a 3.8203
_cell_length_b 5.2246
_cell_length_c 5.2246
_cell_angle_alpha 98.49
_cell_angle_beta 90.00
_cell_angle_gamma 90.00
loop_
_symmetry_equiv_pos_as_xyz
'x,y,z'
loop_
_atom_site_label
_atom_site_type_symbol
_atom_site_fract_x
_atom_site_fract_y
_atom_site_fract_z
_atom_site_occupancy
Ga1 Ga 0.5000 0.8766 0.4853 1
Ag1 Ag 0.5000 0.3847 0.6153 1
Sr1 Sr 0.0000 0.0040 0.9960 1
Ga2 Ga 0.5000 0.5147 0.1234 1
# Electronic total energy in eV per cell: -11.22
# Energy of formation from the pure elements in eV/atom: -0.1582

=====

# 7
# PBE SrGa2Ag2, relaxed
data_SrGa2Ag2
_symmetry_space_group_name_H-M 'P 1'
_symmetry_Int_Tables_number 1
_cell_length_a 7.9739
_cell_length_b 7.9739
_cell_length_c 3.5183
_cell_angle_alpha 90.00
_cell_angle_beta 90.00
_cell_angle_gamma 90.00
loop_
_symmetry_equiv_pos_as_xyz
'x,y,z'
loop_
_atom_site_label
_atom_site_type_symbol
_atom_site_fract_x
_atom_site_fract_y
_atom_site_fract_z
_atom_site_occupancy
Ga1 Ga 0.1166 0.3834 0.0000 1
Ag1 Ag 0.3190 0.1810 0.5000 1
Ga2 Ga 0.6166 0.1166 0.0000 1
Sr1 Sr 0.0000 0.0000 0.0000 1
Sr2 Sr 0.5000 0.5000 0.0000 1
Ag2 Ag 0.8190 0.3190 0.5000 1
Ga3 Ga 0.3834 0.8834 0.0000 1
Ga4 Ga 0.8834 0.6166 0.0000 1
Ag3 Ag 0.6810 0.8190 0.5000 1
Ag4 Ag 0.1810 0.6810 0.5000 1
# Electronic total energy in eV per cell: -27.72
# Energy of formation from the pure elements in eV/atom: -0.0844

=====

# 8
# PBE SrGaAg, relaxed
data_SrGaAg
_symmetry_space_group_name_H-M 'P 1'
_symmetry_Int_Tables_number 1
_cell_length_a 8.9550
_cell_length_b 6.0932
_cell_length_c 6.2134
_cell_angle_alpha 78.02
_cell_angle_beta 70.52
_cell_angle_gamma 95.85
loop_
_symmetry_equiv_pos_as_xyz
'x,y,z'
loop_
_atom_site_label
_atom_site_type_symbol
_atom_site_fract_x
_atom_site_fract_y
_atom_site_fract_z
_atom_site_occupancy
Ga1 Ga 0.9908 0.5089 0.2891 1
Ga2 Ga 0.5354 0.0039 0.1174 1
Sr1 Sr 0.4287 0.8926 0.6855 1
Ga3 Ga 0.4869 0.3689 0.8638 1
Ag1 Ag 0.7758 0.1681 0.6808 1
Sr2 Sr 0.1031 0.3957 0.7636 1
Ag2 Ag 0.7931 0.6757 0.6690 1
Sr3 Sr 0.1429 0.0236 0.3162 1
Sr4 Sr 0.6426 0.5024 0.2634 1
Ag3 Ag 0.8009 0.0365 0.2343 1
Ag4 Ag 0.3125 0.5830 0.1988 1
Ga4 Ga 0.9948 0.8408 0.9182 1
# Electronic total energy in eV per cell: -33.96
# Energy of formation from the pure elements in eV/atom: -0.3099